Density functional theory data (PBE-GGA) for a relaxed structure of CsPu2AuS4.

Values from the calculation:
SG = Cmcm
DOS(E_F) = 37.53 states/eV per cell
Total energy = -59.616 eV/f.u.
M_tot = 1.250 μB/atom

Cell lengths 4.150, 7.364, 14.165 Å; angles 90.00, 90.00, 106.37 degrees
Site moments in Bohr magnetons follow the coordinates.
Atoms (fractional coordinates):
Cs 0.113 0.226 0.750  0.00
Cs 0.887 0.774 0.250  0.00
Pu 0.368 0.737 0.561  5.10
Pu 0.632 0.263 0.061  5.10
Pu 0.632 0.263 0.439  5.10
Pu 0.368 0.737 0.939  5.10
Au 0.838 0.676 0.750  -0.05
Au 0.162 0.324 0.250  -0.05
S 0.256 0.511 0.098  -0.11
S 0.744 0.489 0.598  -0.11
S 0.744 0.489 0.902  -0.11
S 0.256 0.511 0.402  -0.11
S 0.000 0.000 0.500  -0.12
S 0.000 0.000 0.000  -0.12
S 0.432 0.864 0.750  -0.08
S 0.568 0.136 0.250  -0.08

***

Density functional theory data (PBE-GGA) for a relaxed structure of CsPuAuS2.

Values from the calculation:
SG = P2/c
DOS(E_F) = 24.75 states/eV per cell
Total energy = -31.763 eV/f.u.
M_tot = 1.196 μB/atom

Cell lengths 5.403, 8.015, 7.753 Å; angles 103.66, 90.00, 90.00 degrees
Site moments in Bohr magnetons follow the coordinates.
Atoms (fractional coordinates):
Cs 0.188 0.500 0.750  0.01
Cs 0.812 0.500 0.250  0.01
Pu 0.490 0.000 0.250  5.48
Pu 0.510 0.000 0.750  5.48
Au 0.000 0.000 0.000  0.07
Au 0.000 0.000 0.500  0.07
S 0.693 0.781 0.951  -0.04
S 0.693 0.219 0.549  -0.04
S 0.307 0.781 0.451  -0.04
S 0.307 0.219 0.049  -0.04

***

Density functional theory data (PBE-GGA) for a relaxed structure of CsPuSb2Au2.

Values from the calculation:
SG = P-3m1
DOS(E_F) = 14.64 states/eV per cell
Total energy = -33.097 eV/f.u.
M_tot = 0.847 μB/atom

Cell lengths 4.739, 4.739, 9.736 Å; angles 90.00, 90.00, 120.00 degrees
Site moments in Bohr magnetons follow the coordinates.
Atoms (fractional coordinates):
Cs 0.000 0.000 0.000  -0.01
Pu 0.000 0.000 0.500  5.25
Sb 0.667 0.333 0.296  -0.06
Sb 0.333 0.667 0.704  -0.06
Au 0.667 0.333 0.675  -0.03
Au 0.333 0.667 0.325  -0.03

***

Density functional theory data (PBE-GGA) for a relaxed structure of CsPuAuSe2.

Values from the calculation:
SG = Cmme
DOS(E_F) = 16.91 states/eV per cell
Total energy = -30.138 eV/f.u.
M_tot = 1.200 μB/atom

Cell lengths 6.045, 8.789, 6.562 Å; angles 111.91, 90.00, 90.00 degrees
Site moments in Bohr magnetons follow the coordinates.
Atoms (fractional coordinates):
Cs 0.233 0.500 0.750  0.01
Cs 0.767 0.500 0.250  0.01
Pu 0.500 0.000 0.250  5.58
Pu 0.500 0.000 0.750  5.58
Au 0.000 0.000 0.000  0.03
Au 0.000 0.000 0.500  0.03
Se 0.738 0.761 0.881  -0.03
Se 0.738 0.239 0.619  -0.03
Se 0.262 0.761 0.381  -0.03
Se 0.262 0.239 0.119  -0.03

***

Density functional theory data (PBE-GGA) for a relaxed structure of CsPu4Au3Se12.

Values from the calculation:
SG = Im-3
DOS(E_F) = 38.02 states/eV per cell
Total energy = -124.771 eV/f.u.
M_tot = 0.901 μB/atom

Cell lengths 9.045, 9.045, 9.045 Å; angles 109.47, 109.47, 109.47 degrees
Site moments in Bohr magnetons follow the coordinates.
Atoms (fractional coordinates):
Cs 0.000 0.000 0.000  0.00
Pu 0.500 0.000 0.000  4.85
Pu 0.500 0.500 0.500  4.85
Pu 0.000 0.500 0.000  4.85
Pu 0.000 0.000 0.500  4.85
Au 0.000 0.500 0.500  0.06
Au 0.500 0.500 0.000  0.06
Au 0.500 0.000 0.500  0.06
Se 0.322 0.833 0.155  -0.12
Se 0.678 0.167 0.845  -0.12
Se 0.678 0.833 0.510  -0.12
Se 0.845 0.678 0.167  -0.12
Se 0.833 0.155 0.322  -0.12
Se 0.167 0.490 0.322  -0.12
Se 0.490 0.322 0.167  -0.12
Se 0.167 0.845 0.678  -0.12
Se 0.322 0.167 0.490  -0.12
Se 0.155 0.322 0.833  -0.12
Se 0.833 0.510 0.678  -0.12
Se 0.510 0.678 0.833  -0.12

***

Density functional theory data (PBE-GGA) for a relaxed structure of Cs2PuSi2Au7.

Values from the calculation:
SG = C2/m
DOS(E_F) = 20.00 states/eV per cell
Total energy = -52.984 eV/f.u.
M_tot = 0.475 μB/atom

Cell lengths 4.819, 4.819, 13.263 Å; angles 91.32, 91.32, 90.24 degrees
Site moments in Bohr magnetons follow the coordinates.
Atoms (fractional coordinates):
Cs 0.984 0.984 0.361  0.00
Cs 0.016 0.016 0.639  0.00
Pu 0.000 0.000 0.000  5.38
Si 0.559 0.559 0.792  -0.01
Si 0.441 0.441 0.208  -0.01
Au 0.500 0.500 0.000  0.01
Au 0.484 0.484 0.397  0.00
Au 0.516 0.516 0.603  0.00
Au 0.953 0.506 0.148  0.01
Au 0.506 0.953 0.148  0.01
Au 0.494 0.047 0.852  0.01
Au 0.047 0.494 0.852  0.01

***

Density functional theory data (PBE-GGA) for a relaxed structure of CsPuTe2Au.

Values from the calculation:
SG = Cmme
DOS(E_F) = 18.21 states/eV per cell
Total energy = -28.450 eV/f.u.
M_tot = 1.200 μB/atom

Cell lengths 6.263, 9.431, 6.723 Å; angles 110.88, 90.00, 90.00 degrees
Site moments in Bohr magnetons follow the coordinates.
Atoms (fractional coordinates):
Cs 0.243 0.500 0.750  0.00
Cs 0.757 0.500 0.250  0.00
Pu 0.500 0.000 0.250  5.62
Pu 0.500 0.000 0.750  5.62
Te 0.747 0.757 0.878  -0.04
Te 0.747 0.243 0.622  -0.04
Te 0.252 0.757 0.378  -0.04
Te 0.252 0.243 0.122  -0.04
Au 0.000 0.000 0.000  0.01
Au 0.000 0.000 0.500  0.01

***

Density functional theory data (PBE-GGA) for a relaxed structure of Cs2Rb2Au3.

Values from the calculation:
SG = I2_13
ΔE to the lowest computed polymorph = 0 meV/atom
DOS(E_F) = 6.58 states/eV per cell
Total energy = -15.435 eV/f.u.
M_tot = 0.000 μB/atom

Cell lengths 9.308, 9.308, 9.308 Å; angles 109.47, 109.47, 109.47 degrees
Atoms (fractional coordinates):
Cs 0.000 0.000 0.858
Cs 0.500 0.858 0.500
Cs 0.142 0.642 0.642
Cs 0.358 0.500 0.000
Rb 0.500 0.354 0.500
Rb 0.000 0.000 0.354
Rb 0.646 0.146 0.146
Rb 0.854 0.500 0.000
Au 0.750 0.623 0.373
Au 0.250 0.877 0.127
Au 0.627 0.750 0.877
Au 0.873 0.250 0.623
Au 0.377 0.127 0.750
Au 0.123 0.373 0.250

***

- DOS(E_F) of number 2 (CsPuAuS2)?
  24.75 states/eV per cell

***

- Which formula does entry 8 have?
  Cs2Rb2Au3